VASP calculation (PBE) on AcHfTaO6 after structural relaxation.

a = 5.4452 Å, b = 5.4452 Å, c = 10.6561 Å
α = 90.00°, β = 90.00°, γ = 120.00°
Sites, in units of the cell vectors:
Ac 0.0000 0.0000 0.0000
Ac 0.0000 0.0000 0.5000
Hf 0.3333 0.6667 0.2500
Hf 0.6667 0.3333 0.7500
Ta 0.6667 0.3333 0.2500
Ta 0.3333 0.6667 0.7500
O 0.6313 0.6206 0.1449
O 0.9893 0.3687 0.1449
O 0.3687 0.9893 0.6449
O 0.0107 0.6313 0.8551
O 0.3794 0.3687 0.3551
O 0.9893 0.6206 0.3551
O 0.6206 0.9893 0.8551
O 0.6313 0.0107 0.3551
O 0.0107 0.3794 0.6449
O 0.3794 0.0107 0.1449
O 0.6206 0.6313 0.6449
O 0.3687 0.3794 0.8551

Calculated values
Energy relative to the elements, uncorrected, eV/atom: -3.3402
Space-group type: No. 163

VASP calculation (PBE) on TmZr4Co5 after structural relaxation.

a = 3.1923 Å, b = 3.1923 Å, c = 16.1819 Å
α = 90.00°, β = 90.00°, γ = 90.00°
Sites, in units of the cell vectors:
Tm 0.0000 0.0000 0.0000
Zr 0.0000 0.0000 0.2045
Zr 0.0000 0.0000 0.4021
Zr 0.0000 0.0000 0.5979
Zr 0.0000 0.0000 0.7955
Co 0.5000 0.5000 0.1138
Co 0.5000 0.5000 0.3039
Co 0.5000 0.5000 0.5000
Co 0.5000 0.5000 0.6961
Co 0.5000 0.5000 0.8862

Calculated values
Space-group type: No. 123
Formation energy, meV per atom: -279

VASP calculation (PBE) on ZrScBi2O6 after structural relaxation.

a = 5.9843 Å, b = 5.7435 Å, c = 8.1105 Å
α = 90.00°, β = 89.77°, γ = 90.00°
Sites, in units of the cell vectors:
Zr 0.5000 0.0000 0.5000
Zr 0.0000 0.5000 0.0000
Sc 0.5000 0.0000 0.0000
Sc 0.0000 0.5000 0.5000
Bi 0.0215 0.9653 0.2503
Bi 0.5215 0.5347 0.7503
Bi 0.9785 0.0347 0.7497
Bi 0.4785 0.4653 0.2497
O 0.2648 0.7349 0.0687
O 0.7648 0.7651 0.5687
O 0.7352 0.2651 0.9313
O 0.2352 0.2349 0.4313
O 0.2599 0.7389 0.4281
O 0.7599 0.7611 0.9281
O 0.7401 0.2611 0.5719
O 0.2401 0.2389 0.0719
O 0.8944 0.5327 0.2494
O 0.3944 0.9673 0.7494
O 0.1056 0.4673 0.7506
O 0.6056 0.0327 0.2506

Calculated values
Energy relative to the elements, uncorrected, eV/atom: -2.2353
Space-group type: No. 14

VASP calculation (PBE) on MnPt2Se after structural relaxation.

a = 8.6860 Å, b = 8.6860 Å, c = 8.6860 Å
α = 19.39°, β = 19.39°, γ = 19.39°
Sites, in units of the cell vectors:
Mn 0.7538 0.7538 0.7538
Pt 0.0080 0.0080 0.0080
Pt 0.2503 0.2503 0.2503
Se 0.4879 0.4879 0.4879

Calculated values
Energy relative to the elements, uncorrected, eV/atom: 0.0346
Space-group type: No. 160

VASP calculation (PBE) on Mg3Mn after structural relaxation.

a = 5.4710 Å, b = 5.4710 Å, c = 5.4710 Å
α = 90.00°, β = 90.00°, γ = 90.00°
Sites, in units of the cell vectors:
Mg 0.7500 0.5000 0.0000
Mg 0.2500 0.5000 0.0000
Mg 0.0000 0.7500 0.5000
Mg 0.0000 0.2500 0.5000
Mg 0.5000 0.0000 0.2500
Mg 0.5000 0.0000 0.7500
Mn 0.0000 0.0000 0.0000
Mn 0.5000 0.5000 0.5000

Calculated values
Space-group type: No. 223
Formation energy, meV per atom: 269

VASP calculation (PBE) on PrErTm2Sc4 after structural relaxation.

a = 9.0642 Å, b = 9.0642 Å, c = 11.2447 Å
α = 128.33°, β = 128.33°, γ = 88.37°
Sites, in units of the cell vectors:
Pr 0.5000 0.5000 0.5000
Pr 0.0000 0.0000 0.0000
Er 0.0000 0.5000 0.0000
Er 0.0000 0.5000 0.5000
Tm 0.5000 0.0000 0.0000
Tm 0.5000 0.0000 0.5000
Tm 0.0000 0.0000 0.5000
Tm 0.5000 0.5000 0.0000
Sc 0.2539 0.7467 0.0003
Sc 0.7533 0.2461 0.4997
Sc 0.2467 0.7539 0.5003
Sc 0.7461 0.2533 0.9997
Sc 0.7494 0.7506 0.0035
Sc 0.7494 0.7506 0.4965
Sc 0.2506 0.2494 0.5035
Sc 0.2506 0.2494 0.9965

Calculated values
Space-group type: No. 74
Formation energy, meV per atom: 443

VASP calculation (PBE) on CeRhS2 after structural relaxation.

a = 3.6387 Å, b = 3.6387 Å, c = 8.1473 Å
α = 77.10°, β = 77.10°, γ = 60.00°
Sites, in units of the cell vectors:
S 0.1172 0.1172 0.6484
S 0.8828 0.8828 0.3516
Rh 0.5000 0.5000 0.5000
Ce 0.0000 0.0000 0.0000

Calculated values
Energy relative to the elements, uncorrected, eV/atom: -0.4816
Space-group type: No. 166

VASP calculation (PBE) on CeYCdRu after structural relaxation.

a = 3.3647 Å, b = 3.3647 Å, c = 8.3365 Å
α = 90.00°, β = 90.00°, γ = 90.00°
Sites, in units of the cell vectors:
Ce 0.5000 0.5000 0.7760
Y 0.5000 0.5000 0.3601
Cd 0.0000 0.0000 0.0768
Ru 0.0000 0.0000 0.5718

Calculated values
Space-group type: No. 99
Formation energy, meV per atom: -336

VASP calculation (PBE) on ZrCu2Ag after structural relaxation.

a = 4.7823 Å, b = 4.7823 Å, c = 4.7823 Å
α = 128.50°, β = 128.50°, γ = 75.81°
Sites, in units of the cell vectors:
Ag 0.7500 0.2500 0.5000
Cu 0.0000 0.0000 0.0000
Cu 0.2500 0.7500 0.5000
Zr 0.5000 0.5000 0.0000

Calculated values
Space-group type: No. 119
Formation energy, meV per atom: 22

VASP calculation (PBE) on HoInSi2Rh5 after structural relaxation.

a = 4.5079 Å, b = 4.5079 Å, c = 7.3218 Å
α = 90.00°, β = 90.00°, γ = 90.00°
Sites, in units of the cell vectors:
Ho 0.0000 0.0000 0.5000
In 0.0000 0.0000 0.0000
Si 0.5000 0.5000 0.1657
Si 0.5000 0.5000 0.8343
Rh 0.0000 0.5000 0.2345
Rh 0.5000 0.0000 0.2345
Rh 0.0000 0.5000 0.7655
Rh 0.5000 0.0000 0.7655
Rh 0.5000 0.5000 0.5000

Calculated values
Energy relative to the elements, uncorrected, eV/atom: -0.5635
Space-group type: No. 123

VASP calculation (PBE) on GdAsO4 after structural relaxation.

a = 7.2094 Å, b = 4.8504 Å, c = 4.8508 Å
α = 83.23°, β = 90.00°, γ = 90.00°
Sites, in units of the cell vectors:
Gd 0.7500 0.6277 0.8732
Gd 0.2500 0.3723 0.1268
As 0.2500 0.8632 0.6359
As 0.7500 0.1368 0.3641
O 0.4337 0.6921 0.8071
O 0.0663 0.6921 0.8071
O 0.2500 0.2121 0.6625
O 0.7500 0.1633 0.7130
O 0.2500 0.8367 0.2870
O 0.7500 0.7879 0.3375
O 0.9337 0.3079 0.1929
O 0.5663 0.3079 0.1929

Calculated values
Energy relative to the elements, uncorrected, eV/atom: -2.2947
Space-group type: No. 11

VASP calculation (PBE) on CdPd2Pt4 after structural relaxation.

a = 2.7656 Å, b = 4.1746 Å, c = 10.0665 Å
α = 101.97°, β = 90.00°, γ = 90.00°
Sites, in units of the cell vectors:
Cd 0.0000 0.5000 0.0000
Pd 0.5000 0.2099 0.4197
Pd 0.5000 0.7901 0.5803
Pt 0.5000 0.0733 0.1466
Pt 0.0000 0.3537 0.7073
Pt 0.5000 0.9267 0.8534
Pt 0.0000 0.6463 0.2927

Calculated values
Space-group type: No. 65
Formation energy, meV per atom: -35

VASP calculation (PBE) on Be2BS after structural relaxation.

a = 3.1760 Å, b = 3.5021 Å, c = 10.2594 Å
α = 93.51°, β = 90.44°, γ = 116.92°
Sites, in units of the cell vectors:
Be 0.1343 0.3770 0.9974
Be 0.5880 0.2941 0.7968
Be 0.2424 0.6103 0.6562
Be 0.8623 0.8269 0.1276
S 0.5562 0.2409 0.5897
S 0.1971 0.4927 0.1981
B 0.2950 0.7059 0.8533
B 0.8326 0.7777 0.9251

Calculated values
Energy relative to the elements, uncorrected, eV/atom: -0.3306
Space-group type: No. 1

VASP calculation (PBE) on Co3AgCl12 after structural relaxation.

a = 11.1359 Å, b = 11.1359 Å, c = 12.2652 Å
α = 63.00°, β = 63.00°, γ = 60.00°
Sites, in units of the cell vectors:
Co 0.6901 0.3780 0.9976
Co 0.1901 0.4343 0.4976
Co 0.8780 0.1901 0.4976
Co 0.3780 0.9343 0.9976
Co 0.9343 0.6901 0.9976
Co 0.4343 0.8780 0.4976
Ag 0.0611 0.0611 0.8166
Ag 0.5611 0.5611 0.3166
Cl 0.1528 0.0559 0.9960
Cl 0.1883 0.2595 0.6771
Cl 0.9629 0.9758 0.4875
Cl 0.8151 0.4976 0.8404
Cl 0.3151 0.3469 0.3404
Cl 0.4629 0.0738 0.9875
Cl 0.6883 0.3751 0.1771
Cl 0.9758 0.5738 0.4875
Cl 0.6528 0.2952 0.4960
Cl 0.8751 0.1883 0.6771
Cl 0.9976 0.3151 0.3404
Cl 0.2952 0.5559 0.4960
Cl 0.0738 0.4758 0.9875
Cl 0.7952 0.1528 0.9960
Cl 0.4976 0.8469 0.8404
Cl 0.3751 0.7595 0.1771
Cl 0.7595 0.6883 0.1771
Cl 0.4758 0.4629 0.9875
Cl 0.5559 0.6528 0.4960
Cl 0.8469 0.8151 0.8404
Cl 0.3469 0.9976 0.3404
Cl 0.0559 0.7952 0.9960
Cl 0.2595 0.8751 0.6771
Cl 0.5738 0.9629 0.4875

Calculated values
Energy relative to the elements, uncorrected, eV/atom: -0.4167
Space-group type: No. 161

VASP calculation (PBE) on Sm2NpCdO8 after structural relaxation.

a = 3.9706 Å, b = 5.3202 Å, c = 7.8401 Å
α = 89.87°, β = 90.04°, γ = 95.72°
Sites, in units of the cell vectors:
Sm 0.4997 0.5008 0.7524
Sm 0.5003 0.4992 0.2476
Np 0.0000 0.0000 0.0000
Cd 0.0000 0.0000 0.5000
O 0.0383 0.7615 0.2070
O 0.5496 0.7724 0.9997
O 0.9622 0.2370 0.2082
O 0.9617 0.2385 0.7930
O 0.4504 0.2276 0.0003
O 0.0378 0.7630 0.7918
O 0.5237 0.7454 0.4994
O 0.4763 0.2546 0.5006

Calculated values
Energy relative to the elements, uncorrected, eV/atom: -2.4909
Space-group type: No. 2

VASP calculation (PBE) on DyYMg3 after structural relaxation.

a = 5.1943 Å, b = 11.4084 Å, c = 11.4084 Å
α = 54.66°, β = 76.84°, γ = 76.84°
Sites, in units of the cell vectors:
Dy 0.0513 0.3202 0.0782
Dy 0.5513 0.0782 0.3202
Dy 0.4487 0.9218 0.6798
Dy 0.9487 0.6798 0.9218
Y 0.2500 0.6276 0.3724
Y 0.2500 0.1267 0.8733
Y 0.7500 0.3724 0.6276
Y 0.7500 0.8733 0.1267
Mg 0.6515 0.2230 0.9749
Mg 0.1515 0.9749 0.2230
Mg 0.8485 0.0251 0.7770
Mg 0.3485 0.7770 0.0251
Mg 0.9450 0.1623 0.4493
Mg 0.4450 0.4493 0.1623
Mg 0.5550 0.5507 0.8377
Mg 0.0550 0.8377 0.5507
Mg 0.8614 0.5049 0.2734
Mg 0.3614 0.2734 0.5049
Mg 0.6386 0.7266 0.4951
Mg 0.1386 0.4951 0.7266

Calculated values
Space-group type: No. 15
Formation energy, meV per atom: -42

VASP calculation (PBE) on Er4Mg5Ga2 after structural relaxation.

a = 3.5205 Å, b = 7.9031 Å, c = 9.8683 Å
α = 93.91°, β = 90.00°, γ = 90.00°
Sites, in units of the cell vectors:
Er 0.5000 0.7481 0.5582
Er 0.5000 0.1586 0.8679
Er 0.5000 0.2519 0.4418
Er 0.5000 0.8414 0.1321
Mg 0.0000 0.5637 0.3055
Mg 0.0000 0.1868 0.1581
Mg 0.0000 0.5000 0.0000
Mg 0.0000 0.8132 0.8419
Mg 0.0000 0.4363 0.6945
Ga 0.0000 0.0597 0.6308
Ga 0.0000 0.9403 0.3692

Calculated values
Space-group type: No. 10
Formation energy, meV per atom: -199

VASP calculation (PBE) on Tb2LuSc after structural relaxation.

a = 4.8301 Å, b = 4.9260 Å, c = 4.9260 Å
α = 90.00°, β = 90.00°, γ = 90.00°
Sites, in units of the cell vectors:
Sc 0.5000 0.0000 0.0000
Lu 0.5000 0.5000 0.5000
Tb 0.0000 0.0000 0.5000
Tb 0.0000 0.5000 0.0000

Calculated values
Space-group type: No. 123
Formation energy, meV per atom: 43

VASP calculation (PBE) on Mg3ZrB after structural relaxation.

a = 4.5805 Å, b = 4.5805 Å, c = 4.5805 Å
α = 90.00°, β = 90.00°, γ = 90.00°
Sites, in units of the cell vectors:
Mg 0.0000 0.5000 0.0000
Mg 0.0000 0.0000 0.5000
Mg 0.5000 0.0000 0.0000
B 0.0000 0.0000 0.0000
Zr 0.5000 0.5000 0.5000

Calculated values
Space-group type: No. 221
Formation energy, meV per atom: 463

VASP calculation (PBE) on GdTmCuPd after structural relaxation.

a = 4.9350 Å, b = 4.9350 Å, c = 4.9350 Å
α = 60.00°, β = 60.00°, γ = 60.00°
Sites, in units of the cell vectors:
Gd 0.0000 0.0000 0.0000
Tm 0.5000 0.5000 0.5000
Cu 0.2500 0.2500 0.2500
Pd 0.7500 0.7500 0.7500

Calculated values
Space-group type: No. 216
Formation energy, meV per atom: -562

VASP calculation (PBE) on Ac2AgPd6 after structural relaxation.

a = 5.8938 Å, b = 5.8467 Å, c = 6.5219 Å
α = 78.31°, β = 90.00°, γ = 120.27°
Sites, in units of the cell vectors:
Ac 0.6402 0.2805 0.1791
Ac 0.3598 0.7195 0.8209
Ag 0.0000 0.0000 0.0000
Pd 0.8724 0.2720 0.6725
Pd 0.8799 0.7597 0.6725
Pd 0.3996 0.2720 0.6725
Pd 0.1276 0.7280 0.3275
Pd 0.1201 0.2403 0.3275
Pd 0.6004 0.7280 0.3275

Calculated values
Space-group type: No. 12
Formation energy, meV per atom: -604

VASP calculation (PBE) on LiCd2Ga after structural relaxation.

a = 4.8951 Å, b = 6.0819 Å, c = 6.0819 Å
α = 121.18°, β = 90.00°, γ = 90.00°
Sites, in units of the cell vectors:
Li 0.2500 0.7660 0.1020
Li 0.7500 0.1020 0.7660
Cd 0.2500 0.2697 0.6106
Cd 0.7500 0.6106 0.2697
Cd 0.2500 0.2627 0.0966
Cd 0.7500 0.0966 0.2627
Ga 0.2500 0.7661 0.6113
Ga 0.7500 0.6113 0.7661

Calculated values
Space-group type: No. 40
Formation energy, meV per atom: -155

no.,magnetic moment (μB per formula unit)
1,0.0
2,0.6
3,0.0
4,2.8
5,3.8
6,2.8
7,1.4
8,0.0
9,0.0
10,0.0
11,7.0
12,0.0
13,0.0
14,14.1
15,0.7
16,0.1
17,0.0
18,0.0
19,0.0
20,7.2
21,0.0
22,0.0